[1]
An optimized crystal structure of CaMnRe2, computed with PBE.

## Properties
- offset from the most stable computed form (meV per atom) = 116

Unit cell a=4.518 b=4.518 c=4.518 alpha=60.00 beta=60.00 gamma=60.00
Each line ends with the local moment (μB).
Positions (direct):
Re1 0.250 0.250 0.250  -0.06
Re2 0.000 0.000 0.000  -0.36
Ca1 0.500 0.500 0.500  -0.01
Mn1 0.750 0.750 0.750  2.97

---

[2]
An optimized crystal structure of Ca2MnRe, computed with PBE.

## Properties
- offset from the most stable computed form (meV per atom) = 0

Unit cell a=3.967 b=3.967 c=8.363 alpha=76.43 beta=76.43 gamma=60.01
Each line ends with the local moment (μB).
Positions (direct):
Ca1 0.787 0.787 0.643  0.00
Ca2 0.964 0.964 0.104  0.00
Re1 0.213 0.213 0.362  -0.02
Mn1 0.536 0.536 0.391  0.09

---

[3]
An optimized crystal structure of Ca3MnRe, computed with PBE.

## Properties
- offset from the most stable computed form (meV per atom) = 0

Unit cell a=5.584 b=5.584 c=5.584 alpha=90.00 beta=90.00 gamma=90.00
Each line ends with the local moment (μB).
Positions (direct):
Mn1 0.500 0.500 0.500  -4.41
Re1 0.000 0.000 0.000  -1.28
Ca1 0.000 0.500 0.000  -0.02
Ca2 0.500 0.000 0.000  -0.01
Ca3 0.000 0.000 0.500  0.00

---

Calculated calculated formation energy, 0.597, 0.309, 1.052 eV/atom (same order as the records).
Calculated total energy, -8.4199, -6.0961, -4.4727 eV/atom (same order as the records).
Calculated calculated volume, 65.2, 109.8, 174.1 Å³ per cell (same order as the records).